An optimized crystal structure of BeCu2Te. Source: the Alexandria database, functional PBE-GGA.

Computed properties:
ΔE to the lowest computed polymorph	195	meV per atom
formation energy without anion corrections	1.50	eV per formula unit

abc: 3.734 3.734 8.624
angles: 90.00 90.00 90.00
Space group I4/mmm (No. 139)
Asymmetric unit:
Be 0.000 0.000 0.000
Cu 0.000 0.500 0.250
Te 0.000 0.000 0.500

An optimized crystal structure of BeCu2Te. Source: the Alexandria database, functional PBE-GGA.

Computed properties:
ΔE to the lowest computed polymorph	0	meV per atom
formation energy without anion corrections	0.72	eV per formula unit

abc: 3.7695 3.7695 5.1584
angles: 90.00 90.00 120.00
Space group P-3m1 (No. 164)
Asymmetric unit:
Be 0.0000 0.0000 0.0000
Cu 0.3333 0.6667 0.8543
Te 0.0000 0.0000 0.5000

An optimized crystal structure of BeCuTe. Source: the Alexandria database, functional PBE-GGA.

Computed properties:
ΔE to the lowest computed polymorph	275	meV per atom
formation energy without anion corrections	0.83	eV per formula unit

abc: 5.910 5.910 5.910
angles: 90.00 90.00 90.00
Space group F-43m (No. 216)
Asymmetric unit:
Be 0.000 0.000 0.000
Cu 0.250 0.250 0.250
Te 0.250 0.250 0.750

An optimized crystal structure of BeCu3Te. Source: the Alexandria database, functional PBE-GGA.

Computed properties:
ΔE to the lowest computed polymorph	0	meV per atom
formation energy without anion corrections	2.10	eV per formula unit

abc: 4.245 4.245 4.245
angles: 90.00 90.00 90.00
Space group Pm-3m (No. 221)
Asymmetric unit:
Be 0.000 0.000 0.000
Cu 0.000 0.000 0.500
Te 0.500 0.500 0.500

An optimized crystal structure of BeCu2Te. Source: the Alexandria database, functional PBE-GGA.

Computed properties:
ΔE to the lowest computed polymorph	110	meV per atom
formation energy without anion corrections	1.16	eV per formula unit

abc: 4.005 4.005 16.253
angles: 90.00 90.00 90.00
Space group I-42d (No. 122)
Asymmetric unit:
Be 0.000 0.000 0.000
Cu 0.180 0.250 0.125
Te 0.000 0.000 0.500

An optimized crystal structure of BeCuTe2. Source: the Alexandria database, functional PBE-GGA.

Computed properties:
formation energy without anion corrections	1.46	eV per formula unit

abc: 3.594 3.712 7.922
angles: 90.00 90.00 90.00
Space group Pmmm (No. 47)
Asymmetric unit:
Be 0.000 0.000 0.000
Cu 0.000 0.500 0.500
Te 0.500 0.000 0.500
Te 0.500 0.500 0.000

An optimized crystal structure of BeCuTe. Source: the Alexandria database, functional PBE-GGA.

Computed properties:
ΔE to the lowest computed polymorph	304	meV per atom
formation energy without anion corrections	0.92	eV per formula unit

abc: 3.8630 3.8630 3.9815
angles: 90.00 90.00 120.00
Space group P3m1 (No. 156)
Asymmetric unit:
Be 0.0000 0.0000 0.0000
Cu 0.6667 0.3333 0.2250
Te 0.3333 0.6667 0.7006

An optimized crystal structure of BeCuTe. Source: the Alexandria database, functional PBE-GGA.

Computed properties:
ΔE to the lowest computed polymorph	0	meV per atom
formation energy without anion corrections	0.01	eV per formula unit

abc: 3.887 4.006 8.193
angles: 80.07 85.00 75.43
Space group P-1 (No. 2)
Asymmetric unit:
Be 0.134 0.432 0.380
Cu 0.209 0.996 0.605
Te 0.384 0.392 0.794

An optimized crystal structure of BeZnCu2Te. Source: the Alexandria database, functional PBE-GGA.

Computed properties:
formation energy without anion corrections	4.94	eV per formula unit

abc: 4.445 4.445 5.395
angles: 90.00 90.00 90.00
Space group P4/mmm (No. 123)
Asymmetric unit:
Be 0.000 0.000 0.000
Zn 0.500 0.500 0.500
Cu 0.000 0.500 0.500
Te 0.500 0.500 0.000

An optimized crystal structure of ThBe3Cu10. Source: the Alexandria database, functional PBE-GGA.

Computed properties:
calculated formation energy	0.0581	eV per atom

abc: 11.377 11.377 11.377
angles: 90.00 90.00 90.00
Space group Fm-3m (No. 225)
Asymmetric unit:
Th 0.250 0.250 0.250
Be 0.000 0.000 0.238
Cu 0.000 0.171 0.329
Cu 0.109 0.109 0.109

An optimized crystal structure of ThBe5Cu7. Source: the Alexandria database, functional PBE-GGA.

Computed properties:
calculated formation energy	-0.0862	eV per atom

abc: 4.532 8.374 8.285
angles: 90.00 90.00 90.00
Space group Imm2 (No. 44)
Asymmetric unit:
Th 0.000 0.000 0.000
Be 0.000 0.500 0.251
Be 0.249 0.245 0.744
Cu 0.000 0.000 0.353
Cu 0.000 0.000 0.651
Cu 0.000 0.275 0.490
Cu 0.000 0.354 0.001
Cu 0.000 0.500 0.729

An optimized crystal structure of TmThBeCu. Source: the Alexandria database, functional PBE-GGA.

Computed properties:
calculated formation energy	0.0264	eV per atom

abc: 6.967 6.967 6.967
angles: 90.00 90.00 90.00
Space group F-43m (No. 216)
Asymmetric unit:
Tm 0.000 0.000 0.000
Th 0.000 0.000 0.500
Be 0.250 0.250 0.750
Cu 0.250 0.250 0.250